(1)
VASP calculation (PBE) on an optimized crystal structure of CePu2HfSb4.

Cell: 7.548 4.353 7.557 Å, 90.00 109.33 90.00°
Element x y z (fractional)
Ce1 0.000 0.000 0.000
Pu1 0.500 0.000 0.500
Pu2 0.500 0.500 0.000
Hf1 0.000 0.500 0.500
Sb1 0.235 0.000 0.734
Sb2 0.243 0.500 0.261
Sb3 0.757 0.500 0.739
Sb4 0.765 0.000 0.266

Results
Magnetic moment = 0.42 μB/f.u.
Density of states at the Fermi level = 4.0914 states/eV per atom
SG = P2/m
Uncorrected formation energy = -0.67 eV per atom

---

(2)
VASP calculation (PBE) on an optimized crystal structure of Y2Re2W.

Cell: 6.633 6.633 4.847 Å, 90.00 90.00 90.00°
Element x y z (fractional)
Y1 0.178 0.322 0.000
Y2 0.322 0.822 0.000
Y3 0.678 0.178 0.000
Y4 0.822 0.678 0.000
Re1 0.131 0.631 0.500
Re2 0.369 0.131 0.500
Re3 0.631 0.869 0.500
Re4 0.869 0.369 0.500
W1 0.000 0.000 0.500
W2 0.500 0.500 0.500

Results
Magnetic moment = 0.00 μB/f.u.
Energy above the lowest structure with this stoichiometry = 0.00 eV/f.u.
Density of states at the Fermi level = 1.1558 states/eV per atom
ΔH_f (0 K) = 0.172 eV/atom
SG = P4/mbm

---

(3)
VASP calculation (PBE) on an optimized crystal structure of YHf2Cl.

Cell: 12.602 12.602 12.602 Å, 161.70 161.70 25.99°
Element x y z (fractional)
Y1 0.000 0.000 0.000
Y2 0.750 0.250 0.500
Hf1 0.121 0.625 0.996
Hf2 0.375 0.371 0.496
Hf3 0.629 0.125 0.004
Hf4 0.875 0.879 0.504
Cl1 0.250 0.750 0.500
Cl2 0.500 0.500 0.000

Results
Magnetic moment = 0.00 μB/f.u.
Energy above the lowest structure with this stoichiometry = 0.00 eV/f.u.
Density of states at the Fermi level = 1.2072 states/eV per atom
SG = I-42d
Uncorrected formation energy = 0.09 eV per atom

---

(4)
VASP calculation (PBE) on an optimized crystal structure of CsB2HBr.

Cell: 4.515 4.515 6.177 Å, 90.00 90.00 90.00°
Element x y z (fractional)
Cs1 0.000 0.000 0.000
B1 0.000 0.500 0.500
B2 0.500 0.000 0.500
H1 0.000 0.000 0.500
Br1 0.500 0.500 0.000

Results
Magnetic moment = 0.00 μB/f.u.
Density of states at the Fermi level = 0.5120 states/eV per atom
E_tot = -2.261 eV per atom
SG = P4/mmm

---

(5)
VASP calculation (PBE) on an optimized crystal structure of PmPrTl2Se4.

Cell: 7.495 4.328 8.144 Å, 90.00 107.86 90.00°
Element x y z (fractional)
Pm1 0.000 0.000 0.000
Pr1 0.500 0.500 0.000
Tl1 0.000 0.500 0.500
Tl2 0.500 0.000 0.500
Se1 0.234 0.500 0.210
Se2 0.260 0.000 0.788
Se3 0.740 0.000 0.212
Se4 0.766 0.500 0.790

Results
Magnetic moment = 0.00 μB/f.u.
SG = P2/m
Uncorrected formation energy = -1.38 eV per atom

---

(6)
VASP calculation (PBE) on an optimized crystal structure of TaBe2Se.

Cell: 4.329 4.329 3.143 Å, 90.00 90.00 109.29°
Element x y z (fractional)
Ta1 0.000 0.000 0.000
Be1 0.000 0.500 0.500
Be2 0.500 0.000 0.500
Se1 0.500 0.500 0.000

Results
Magnetic moment = 0.00 μB/f.u.
Density of states at the Fermi level = 0.5378 states/eV per atom
SG = Cmmm
Uncorrected formation energy = 0.29 eV per atom

---

(7)
VASP calculation (PBE) on an optimized crystal structure of BaCaInAs2.

Cell: 5.908 5.908 6.322 Å, 90.00 90.00 90.00°
Element x y z (fractional)
Ba1 0.000 0.000 0.000
Ca1 0.000 0.000 0.500
In1 0.500 0.500 0.500
As1 0.000 0.500 0.000
As2 0.500 0.000 0.000

Results
Magnetic moment = 0.00 μB/f.u.
Energy above the lowest structure with this stoichiometry = 6.93 eV/f.u.
Density of states at the Fermi level = 0.8753 states/eV per atom
ΔH_f (0 K) = 0.677 eV/atom
SG = P4/mmm

---

(8)
VASP calculation (PBE) on an optimized crystal structure of Ca2TlCdPt.

Cell: 5.491 5.491 5.254 Å, 90.00 90.00 90.00°
Element x y z (fractional)
Ca1 0.000 0.500 0.000
Ca2 0.500 0.000 0.000
Tl1 0.000 0.000 0.500
Cd1 0.500 0.500 0.500
Pt1 0.500 0.500 0.000

Results
Magnetic moment = 0.00 μB/f.u.
Density of states at the Fermi level = 0.5530 states/eV per atom
ΔH_f (0 K) = -0.412 eV/atom
SG = P4/mmm